Density functional theory data (PBE) for an optimized crystal structure of Rb4TbTm3Se8.

Lattice parameters (Å, degrees): 8.4173 9.3524 8.4185 116.78 120.00 90.00
Closest atoms and distances in Å follow each position.
Fractional positions:
Rb: 0.5000 0.0000 0.0000  6 Se 3.42-3.43
Rb: 0.5000 0.0000 0.5000  6 Se 3.45-3.46
Rb: 0.0000 0.0000 0.0000  6 Se 3.45-3.46
Rb: 0.0000 0.0000 0.5000  6 Se 3.45-3.46
Tb: 0.0000 0.5000 0.0000  6 Se 2.91
Tm: 0.5000 0.5000 0.0000  6 Se 2.87-2.88
Tm: 0.5000 0.5000 0.5000  6 Se 2.87-2.88
Tm: 0.0000 0.5000 0.5000  6 Se 2.87-2.88
Se: 0.2333 0.6943 0.9612  2 Tm 2.87, 1 Tb 2.91
Se: 0.2334 0.6943 0.4667  2 Tm 2.87, 1 Tb 2.91
Se: 0.2690 0.3072 0.5380  3 Tm 2.88
Se: 0.7279 0.6943 0.9612  2 Tm 2.87, 1 Tb 2.91
Se: 0.2721 0.3057 0.0388  2 Tm 2.87, 1 Tb 2.91
Se: 0.7310 0.6928 0.4620  3 Tm 2.88
Se: 0.7666 0.3057 0.5333  2 Tm 2.87, 1 Tb 2.91
Se: 0.7667 0.3057 0.0388  2 Tm 2.87, 1 Tb 2.91

Calculated values
Raw formation energy   -1.729 eV/atom
DOS(E_F)   0.00 states/eV/cell


Density functional theory data (PBE) for an optimized crystal structure of Nd2Be3Au9.

Lattice parameters (Å, degrees): 7.8904 7.8904 10.5452 89.68 111.52 121.14
Closest atoms and distances in Å follow each position.
Fractional positions:
Nd: 0.3420 0.2455 0.7525  11 Au 3.03-3.21
Nd: 0.6580 0.7545 0.2475  11 Au 3.03-3.21
Nd: 0.9929 0.5895 0.7475  11 Au 3.03-3.21
Nd: 0.0071 0.4105 0.2525  11 Au 3.03-3.21
Be: 0.5000 0.0000 0.0000  8 Au 2.63-2.75
Be: 0.5000 0.5000 0.5000  8 Au 2.63-2.75
Be: 0.8608 0.1781 0.5029  5 Au 2.44-2.66
Be: 0.1392 0.8219 0.4971  5 Au 2.44-2.66
Be: 0.1752 0.3579 0.9971  5 Au 2.44-2.66
Be: 0.8248 0.6421 0.0029  5 Au 2.44-2.66
Au: 0.4370 0.9160 0.7386  2 Be 2.53-2.64
Au: 0.5630 0.0840 0.2614  2 Be 2.53-2.64
Au: 0.6774 0.6984 0.7614  2 Be 2.53-2.64
Au: 0.3226 0.3016 0.2386  2 Be 2.53-2.64
Au: 0.4352 0.6311 0.9261  1 Be 2.44
Au: 0.5648 0.3689 0.0739  1 Be 2.44
Au: 0.2049 0.5091 0.5739  1 Be 2.44
Au: 0.7951 0.4909 0.4261  1 Be 2.44
Au: 0.9046 0.1546 0.7500  2 Be 2.52
Au: 0.0954 0.8454 0.2500  2 Be 2.52
Au: 0.1429 0.9914 0.9491  3 Be 2.63-2.84, 4 Au 2.84-2.95
Au: 0.8571 0.0086 0.0509  3 Be 2.63-2.84, 4 Au 2.84-2.95
Au: 0.5424 0.1938 0.5509  3 Be 2.63-2.84, 4 Au 2.84-2.95
Au: 0.4576 0.8062 0.4491  3 Be 2.63-2.84, 4 Au 2.84-2.95
Au: 0.8715 0.8556 0.5652  3 Be 2.60-2.66, 3 Au 2.84-2.90
Au: 0.1285 0.1444 0.4348  3 Be 2.60-2.66, 3 Au 2.84-2.90
Au: 0.7904 0.3063 0.9348  3 Be 2.60-2.66, 3 Au 2.84-2.90
Au: 0.2096 0.6937 0.0652  3 Be 2.60-2.66, 3 Au 2.84-2.90

Calculated values
Energy of formation from the pure elements   -407.9 meV/atom
DOS(E_F)   10.70 states/eV/cell


Density functional theory data (PBE) for an optimized crystal structure of MgC2Cl.

Lattice parameters (Å, degrees): 4.1706 4.1706 4.1706 60.00 60.00 60.00
Closest atoms and distances in Å follow each position.
Fractional positions:
Mg: 0.0000 0.0000 0.0000  8 C 2.55
C: 0.2500 0.2500 0.2500  4 Cl 2.55, 4 Mg 2.55
C: 0.7500 0.7500 0.7500  4 Mg 2.55, 4 Cl 2.55
Cl: 0.5000 0.5000 0.5000  8 C 2.55

Calculated values
Raw formation energy   2.471 eV/atom
DOS(E_F)   2.58 states/eV/cell


Density functional theory data (PBE) for an optimized crystal structure of CdI2Cl8.

Lattice parameters (Å, degrees): 9.2099 9.4408 12.1427 79.57 67.71 60.81
Closest atoms and distances in Å follow each position.
Fractional positions:
I: 0.7630 0.9934 0.9940  3 Cl 2.41-2.69
I: 0.2496 0.4934 0.4940  3 Cl 2.41-2.69
I: 0.7504 0.5066 0.5060  3 Cl 2.41-2.69
I: 0.2370 0.0066 0.0060  3 Cl 2.41-2.69
Cl: 0.5356 0.7656 0.4619  1 I 2.41
Cl: 0.2216 0.0094 0.2087  1 I 2.42
Cl: 0.7467 0.0103 0.2176  1 Cd 2.54, 1 I 2.69
Cl: 0.9979 0.2130 0.5494  1 Cd 2.52, 1 I 2.72
Cl: 0.2533 0.9897 0.7824  1 Cd 2.54, 1 I 2.69
Cl: 0.7603 0.2870 0.9506  1 Cd 2.52, 1 I 2.72
Cl: 0.0021 0.7870 0.4506  1 Cd 2.52, 1 I 2.72
Cl: 0.0254 0.5103 0.7176  1 Cd 2.54, 1 I 2.69
Cl: 0.2397 0.7130 0.0494  1 Cd 2.52, 1 I 2.72
Cl: 0.7630 0.7344 0.0381  1 I 2.41
Cl: 0.5602 0.5094 0.7087  1 I 2.42
Cl: 0.4398 0.4906 0.2913  1 I 2.42
Cl: 0.2370 0.2656 0.9619  1 I 2.41
Cl: 0.9746 0.4897 0.2824  1 Cd 2.54, 1 I 2.69
Cl: 0.4644 0.2344 0.5381  1 I 2.41
Cl: 0.7784 0.9906 0.7913  1 I 2.42
Cd: 0.0020 0.7500 0.2500  4 Cl 2.52-2.54
Cd: 0.9980 0.2500 0.7500  4 Cl 2.52-2.54

Calculated values
Raw formation energy   -0.422 eV/atom
DOS(E_F)   0.00 states/eV/cell


Density functional theory data (PBE) for an optimized crystal structure of MnAgPd.

Lattice parameters (Å, degrees): 3.2334 3.2334 5.1534 108.28 108.28 90.00
Closest atoms and distances in Å follow each position.
Fractional positions:
Mn: 0.6756 0.6756 0.3512  4 Pd 2.65, 4 Ag 2.78
Ag: 0.0038 0.0038 0.0076  5 Mn 2.78-3.03, 5 Pd 2.84-2.93
Pd: 0.3206 0.3206 0.6412  4 Mn 2.65, 5 Ag 2.84-2.93

Calculated values
Energy of formation from the pure elements   -26.9 meV/atom
DOS(E_F)   1.39 states/eV/cell


Density functional theory data (PBE) for an optimized crystal structure of ZnCoW2.

Lattice parameters (Å, degrees): 4.7159 4.7159 4.7723 79.97 79.97 33.15
Closest atoms and distances in Å follow each position.
Fractional positions:
Co: 0.2541 0.2541 0.2599  6 W 2.58-2.83, 3 Zn 2.65-2.74, 2 Co 2.69
W: 0.9849 0.9849 0.0104  2 Co 2.58, 5 W 2.67-2.85, 4 Zn 2.70-2.80
W: 0.7510 0.7510 0.7394  4 Co 2.65-2.83, 3 Zn 2.66-2.77, 5 W 2.67-2.85
Zn: 0.5100 0.5100 0.4903  3 Co 2.65-2.74, 7 W 2.66-2.80, 2 Zn 2.69

Calculated values
Energy of formation from the pure elements   267.4 meV/atom
DOS(E_F)   2.72 states/eV/cell


Density functional theory data (PBE) for an optimized crystal structure of BaTcHg3.

Lattice parameters (Å, degrees): 6.3151 6.3151 6.3151 90.00 90.00 90.00
Closest atoms and distances in Å follow each position.
Fractional positions:
Tc: 0.5000 0.5000 0.5000  12 Hg 4.47
Hg: 0.0000 0.5000 0.0000  2 Ba 3.16
Hg: 0.0000 0.0000 0.5000  2 Ba 3.16
Hg: 0.5000 0.0000 0.0000  2 Ba 3.16
Ba: 0.0000 0.0000 0.0000  6 Hg 3.16

Calculated values
Energy of formation from the pure elements   1297.6 meV/atom
DOS(E_F)   8.78 states/eV/cell


Density functional theory data (PBE) for an optimized crystal structure of Hf2Be2In.

Lattice parameters (Å, degrees): 7.6744 7.6744 3.0623 90.00 90.00 90.00
Closest atoms and distances in Å follow each position.
Fractional positions:
Be: 0.1672 0.6672 0.5000  6 Hf 2.62-2.80
Be: 0.6672 0.8328 0.5000  6 Hf 2.62-2.80
Be: 0.8328 0.3328 0.5000  6 Hf 2.62-2.80
Be: 0.3328 0.1672 0.5000  6 Hf 2.62-2.80
Hf: 0.3630 0.8630 0.0000  6 Be 2.62-2.80
Hf: 0.8630 0.6370 0.0000  6 Be 2.62-2.80
Hf: 0.6370 0.1370 0.0000  6 Be 2.62-2.80
Hf: 0.1370 0.3630 0.0000  6 Be 2.62-2.80
In: 0.0000 0.0000 0.0000  4 Hf 2.98, 2 In 3.06, 8 Be 3.24
In: 0.5000 0.5000 0.0000  4 Hf 2.98, 2 In 3.06, 8 Be 3.24

Calculated values
Energy of formation from the pure elements   325.6 meV/atom
DOS(E_F)   5.40 states/eV/cell


Density functional theory data (PBE) for an optimized crystal structure of LaScTcO6.

Lattice parameters (Å, degrees): 5.3228 5.3227 5.1710 90.00 90.00 60.00
Closest atoms and distances in Å follow each position.
Fractional positions:
La: 0.0000 0.0000 0.0000  6 O 2.44-2.45
Sc: 0.6666 0.6667 0.5000  6 O 2.10
Tc: 0.3333 0.3333 0.5000  6 O 1.94
O: 0.0234 0.3517 0.2884  1 Tc 1.94, 1 Sc 2.10
O: 0.3517 0.0234 0.7116  1 Tc 1.94, 1 Sc 2.10
O: 0.6248 0.3517 0.7116  1 Tc 1.94, 1 Sc 2.10
O: 0.0234 0.6249 0.7116  1 Tc 1.94, 1 Sc 2.10
O: 0.3517 0.6249 0.2883  1 Tc 1.94, 1 Sc 2.10
O: 0.6248 0.0234 0.2883  1 Tc 1.94, 1 Sc 2.10

Calculated values
Raw formation energy   -2.533 eV/atom
DOS(E_F)   5.19 states/eV/cell


Density functional theory data (PBE) for an optimized crystal structure of ErGa6Ag12.

Lattice parameters (Å, degrees): 7.5335 7.5335 7.5335 105.70 105.70 105.70
Closest atoms and distances in Å follow each position.
Fractional positions:
Er: 0.0000 0.0000 0.0000  6 Ag 3.11
Ga: 0.7021 0.2819 0.2819  7 Ag 2.63-2.78
Ga: 0.2819 0.2819 0.7021  7 Ag 2.63-2.78
Ga: 0.2819 0.7021 0.2819  7 Ag 2.63-2.78
Ga: 0.7181 0.7181 0.2979  7 Ag 2.63-2.78
Ga: 0.2979 0.7181 0.7181  7 Ag 2.63-2.78
Ga: 0.7181 0.2979 0.7181  7 Ag 2.63-2.78
Ag: 0.8833 0.1167 0.5000  4 Ga 2.63-2.71, 3 Ag 2.80-2.86
Ag: 0.8661 0.6236 0.6236  4 Ga 2.77-2.97, 4 Ag 2.86-2.91
Ag: 0.6236 0.6236 0.8661  4 Ga 2.77-2.97, 4 Ag 2.86-2.91
Ag: 0.3764 0.1339 0.3764  4 Ga 2.77-2.97, 4 Ag 2.86-2.91
Ag: 0.3764 0.3764 0.1339  4 Ga 2.77-2.97, 4 Ag 2.86-2.91
Ag: 0.1339 0.3764 0.3764  4 Ga 2.77-2.97, 4 Ag 2.86-2.91
Ag: 0.1167 0.5000 0.8833  4 Ga 2.63-2.71, 3 Ag 2.80-2.86
Ag: 0.5000 0.8833 0.1167  4 Ga 2.63-2.71, 3 Ag 2.80-2.86
Ag: 0.1167 0.8833 0.5000  4 Ga 2.63-2.71, 3 Ag 2.80-2.86
Ag: 0.8833 0.5000 0.1167  4 Ga 2.63-2.71, 3 Ag 2.80-2.86
Ag: 0.5000 0.1167 0.8833  4 Ga 2.63-2.71, 3 Ag 2.80-2.86
Ag: 0.6236 0.8661 0.6236  4 Ga 2.77-2.97, 4 Ag 2.86-2.91

Calculated values
Energy of formation from the pure elements   36.7 meV/atom
DOS(E_F)   3.91 states/eV/cell